A plane-wave DFT calculation with GGA+U was carried out for a relaxed CdWN2F crystal.

a = 4.0577 Å, b = 4.0577 Å, c = 4.1705 Å
α = 90.00°, β = 90.00°, γ = 90.00°
Last column: nearest neighbours and their distance in Å.
Space group P4/mmm (No. 123)
Inequivalent atoms, fractional coordinates:
1 Cd 0.0000 0.0000 0.0000 [1 per cell]  4 F 2.87, 8 N 2.91
2 W 0.5000 0.5000 0.5000 [1 per cell]  4 N 2.03, 2 F 2.09
3 N 0.0000 0.5000 0.5000 [2 per cell]  2 W 2.03
4 F 0.5000 0.5000 0.0000 [1 per cell]  2 W 2.09

Energy above the lowest structure with this stoichiometry, eV/atom: 0.000
V, A^3/atom: 13.73
Total magnetization, μB per formula unit: 0.7